Record 1
Compound: TbY2ReO8
Source: Alexandria via LeMat-Bulk
Functional: PBE
Structure: relaxed

Properties
formation energy from raw total energies = -2.774 eV/atom
DOS(E_F) = 0.000 states/eV per atom
total magnetic moment = 0.0 μB per cell

Lattice parameters (Å, degrees): 5.059 5.059 6.769 90.00 90.00 90.64
Positions (direct):
Tb (0.000, 0.000, 0.000)
Y (0.500, 0.500, 0.249)
Y (0.500, 0.500, 0.751)
Re (0.000, 0.000, 0.500)
O (0.181, 0.819, 0.294)
O (0.181, 0.819, 0.706)
O (0.268, 0.268, 0.500)
O (0.308, 0.308, 0.000)
O (0.692, 0.692, 0.000)
O (0.732, 0.732, 0.500)
O (0.819, 0.181, 0.294)
O (0.819, 0.181, 0.706)

---

Record 2
Compound: ReTcO4
Source: Alexandria via LeMat-Bulk
Functional: PBE
Structure: relaxed

Properties
formation energy from raw total energies = -1.376 eV/atom
DOS(E_F) = 0.609 states/eV per atom
total magnetic moment = 0.0 μB per cell
distance to the lowest polymorph of the same formula = 0 meV per atom

Lattice parameters (Å, degrees): 5.625 5.625 5.625 104.40 104.40 120.17
Positions (direct):
Re (0.000, 0.000, 0.000)
Re (0.750, 0.250, 0.500)
Tc (0.287, 0.787, 0.500)
Tc (0.537, 0.537, 0.000)
O (0.216, 0.518, 0.698)
O (0.268, 0.070, 0.802)
O (0.268, 0.466, 0.198)
O (0.296, 0.017, 0.279)
O (0.738, 0.017, 0.721)
O (0.767, 0.546, 0.779)
O (0.767, 0.988, 0.221)
O (0.820, 0.518, 0.302)

---

Record 3
Compound: ReTcO5
Source: Alexandria via LeMat-Bulk
Functional: PBE
Structure: relaxed

Properties
formation energy from raw total energies = -1.345 eV/atom
DOS(E_F) = 0.514 states/eV per atom
total magnetic moment = 0.7 μB per cell
distance to the lowest polymorph of the same formula = 0 meV per atom

Lattice parameters (Å, degrees): 5.277 5.277 7.354 110.43 110.43 75.17
Positions (direct):
Re (0.000, 0.000, 0.000)
Re (0.000, 0.000, 0.500)
Tc (0.479, 0.521, 0.750)
Tc (0.521, 0.479, 0.250)
O (0.050, 0.950, 0.250)
O (0.245, 0.264, 0.129)
O (0.264, 0.245, 0.629)
O (0.298, 0.692, 0.536)
O (0.308, 0.702, 0.964)
O (0.692, 0.298, 0.036)
O (0.702, 0.308, 0.464)
O (0.736, 0.755, 0.371)
O (0.755, 0.736, 0.871)
O (0.950, 0.050, 0.750)

---

Record 4
Compound: ReTcO4
Source: Alexandria via LeMat-Bulk
Functional: PBE
Structure: relaxed

Properties
formation energy from raw total energies = -0.918 eV/atom
DOS(E_F) = 0.648 states/eV per atom
total magnetic moment = 1.3 μB per cell
distance to the lowest polymorph of the same formula = 458 meV per atom

Lattice parameters (Å, degrees): 4.961 4.961 9.256 90.00 90.00 90.00
Positions (direct):
Re (0.000, 0.500, 0.250)
Re (0.500, 0.000, 0.750)
Tc (0.000, 0.000, 0.000)
Tc (0.000, 0.000, 0.500)
O (0.168, 0.264, 0.377)
O (0.168, 0.736, 0.123)
O (0.264, 0.168, 0.877)
O (0.264, 0.832, 0.623)
O (0.736, 0.168, 0.623)
O (0.736, 0.832, 0.877)
O (0.832, 0.264, 0.123)
O (0.832, 0.736, 0.377)

---

Record 5
Compound: ReTcO
Source: Alexandria via LeMat-Bulk
Functional: PBE
Structure: relaxed

Properties
formation energy from raw total energies = -0.134 eV/atom
DOS(E_F) = 0.607 states/eV per atom
total magnetic moment = 0.0 μB per cell

Lattice parameters (Å, degrees): 2.744 2.744 9.488 90.00 90.00 90.00
Positions (direct):
Re (0.000, 0.000, 0.000)
Re (0.500, 0.500, 0.500)
Tc (0.000, 0.000, 0.685)
Tc (0.500, 0.500, 0.185)
O (0.000, 0.000, 0.348)
O (0.500, 0.500, 0.848)

---

Record 6
Compound: ReTcO5
Source: Alexandria via LeMat-Bulk
Functional: PBE
Structure: relaxed

Properties
formation energy from raw total energies = -1.125 eV/atom
DOS(E_F) = 0.302 states/eV per atom
total magnetic moment = 2.5 μB per cell
distance to the lowest polymorph of the same formula = 220 meV per atom

Lattice parameters (Å, degrees): 6.170 6.170 6.833 95.65 95.65 126.85
Positions (direct):
Re (0.000, 0.000, 0.000)
Re (0.000, 0.000, 0.500)
Tc (0.443, 0.557, 0.750)
Tc (0.557, 0.443, 0.250)
O (0.070, 0.342, 0.629)
O (0.073, 0.927, 0.750)
O (0.265, 0.396, 0.007)
O (0.342, 0.070, 0.129)
O (0.396, 0.265, 0.507)
O (0.604, 0.735, 0.493)
O (0.658, 0.930, 0.871)
O (0.735, 0.604, 0.993)
O (0.927, 0.073, 0.250)
O (0.930, 0.658, 0.371)

---

Record 7
Compound: Re2TcO8
Source: Alexandria via LeMat-Bulk
Functional: PBE
Structure: relaxed

Properties
formation energy from raw total energies = -1.315 eV/atom
DOS(E_F) = 0.406 states/eV per atom
total magnetic moment = 1.0 μB per cell

Lattice parameters (Å, degrees): 6.235 6.235 5.100 93.23 93.23 89.01
Positions (direct):
Re (0.208, 0.208, 0.156)
Re (0.792, 0.792, 0.844)
Tc (0.000, 0.000, 0.500)
O (0.045, 0.714, 0.701)
O (0.159, 0.159, 0.808)
O (0.286, 0.955, 0.299)
O (0.400, 0.400, 0.225)
O (0.600, 0.600, 0.775)
O (0.714, 0.045, 0.701)
O (0.841, 0.841, 0.192)
O (0.955, 0.286, 0.299)

---

Record 8
Compound: TlReTcO6
Source: Alexandria via LeMat-Bulk
Functional: PBE
Structure: relaxed

Properties
formation energy from raw total energies = -1.308 eV/atom
DOS(E_F) = 0.375 states/eV per atom
total magnetic moment = 2.5 μB per cell

Lattice parameters (Å, degrees): 5.336 5.336 6.033 90.00 90.00 120.00
Positions (direct):
Tl (0.000, 0.000, 0.000)
Re (0.333, 0.667, 0.500)
Tc (0.667, 0.333, 0.500)
O (0.011, 0.399, 0.677)
O (0.011, 0.612, 0.323)
O (0.388, 0.399, 0.323)
O (0.388, 0.989, 0.677)
O (0.601, 0.612, 0.677)
O (0.601, 0.989, 0.323)